Compound: Cr3In2Cl8
Source: the Alexandria database
Functional: PBE-GGA
Structure: optimized geometry

```
Cr3In2Cl8
1.0
7.053 -3.534 0.000
7.053 3.534 0.000
-1.965 0.000 7.543
Cr In Cl
3 2 8
Direct
0.000 0.000 0.000
0.250 0.750 0.500
0.750 0.250 0.500
0.275 0.275 0.842
0.725 0.725 0.158
0.106 0.106 0.451
0.145 0.677 0.112
0.323 0.855 0.888
0.390 0.390 0.522
0.610 0.610 0.478
0.677 0.145 0.112
0.855 0.323 0.888
0.894 0.894 0.549
```

The space group is No. 12. The calculated density comes out at 2.96 Mg/m³. The formation energy from raw total energies is -0.887 eV/atom.